1.
# Er3Cu2Ge4, optimized geometry, DFT PBE
data_Er3Cu2Ge4
_symmetry_space_group_name_H-M 'C 1 2/m 1'
_symmetry_Int_Tables_number 12
_cell_length_a 10.638
_cell_length_b 4.172
_cell_length_c 8.124
_cell_angle_alpha 90.00
_cell_angle_beta 103.76
_cell_angle_gamma 90.00
loop_
_symmetry_equiv_pos_as_xyz
'x,y,z'
'-x,-y,-z'
'-x,y,-z'
'x,-y,z'
'x+1/2,y+1/2,z'
'-x+1/2,-y+1/2,-z'
'-x+1/2,y+1/2,-z'
'x+1/2,-y+1/2,z'
loop_
_atom_site_label
_atom_site_type_symbol
_atom_site_fract_x
_atom_site_fract_y
_atom_site_fract_z
Er1 Er 0.000 0.000 0.000
Er2 Er 0.160 0.500 0.669
Cu1 Cu 0.113 0.500 0.286
Ge1 Ge 0.064 0.000 0.388
Ge2 Ge 0.211 0.500 0.059
# Energy of formation in eV per atom: -0.6573
# Calculated volume in Å³ per atom: 19.5
# Size of the total moment in μB per cell: 0.0

=====

2.
# Fe2SbAu, optimized geometry, DFT PBE
data_Fe2SbAu
_symmetry_space_group_name_H-M 'P 1 m 1'
_symmetry_Int_Tables_number 6
_cell_length_a 3.244
_cell_length_b 4.225
_cell_length_c 4.869
_cell_angle_alpha 90.00
_cell_angle_beta 98.54
_cell_angle_gamma 90.00
loop_
_symmetry_equiv_pos_as_xyz
'x,y,z'
'x,-y,z'
loop_
_atom_site_label
_atom_site_type_symbol
_atom_site_fract_x
_atom_site_fract_y
_atom_site_fract_z
Fe1 Fe 0.000 0.000 0.000
Fe2 Fe 0.061 0.500 0.283
Sb1 Sb 0.603 0.000 0.446
Au1 Au 0.454 0.500 0.832
# Energy relative to the elements, uncorrected in eV/atom: 0.2249
# Calculated volume in Å³ per atom: 16.5
# Size of the total moment in μB per cell: 5.0

=====

3.
# Nd2DyScSb4, optimized geometry, DFT PBE
data_Nd2DyScSb4
_symmetry_space_group_name_H-M 'P 1 2/m 1'
_symmetry_Int_Tables_number 10
_cell_length_a 7.614
_cell_length_b 4.412
_cell_length_c 7.635
_cell_angle_alpha 90.00
_cell_angle_beta 109.54
_cell_angle_gamma 90.00
loop_
_symmetry_equiv_pos_as_xyz
'x,y,z'
'-x,-y,-z'
'-x,y,-z'
'x,-y,z'
loop_
_atom_site_label
_atom_site_type_symbol
_atom_site_fract_x
_atom_site_fract_y
_atom_site_fract_z
Nd1 Nd 0.000 0.000 0.000
Nd2 Nd 0.000 0.500 0.500
Dy1 Dy 0.500 0.000 0.500
Sc1 Sc 0.500 0.500 0.000
Sb1 Sb 0.264 0.500 0.248
Sb2 Sb 0.269 0.000 0.763
# Energy relative to the elements, uncorrected in eV/atom: -1.0939
# Calculated volume in Å³ per atom: 30.2
# Size of the total moment in μB per cell: 0.0

=====

4.
# CsBeAgS2, optimized geometry, DFT PBE
data_CsBeAgS2
_symmetry_space_group_name_H-M 'P 1 2/c 1'
_symmetry_Int_Tables_number 13
_cell_length_a 7.578
_cell_length_b 5.255
_cell_length_c 7.271
_cell_angle_alpha 90.00
_cell_angle_beta 106.17
_cell_angle_gamma 90.00
loop_
_symmetry_equiv_pos_as_xyz
'x,y,z'
'-x,-y,-z'
'-x,y,-z+1/2'
'x,-y,z+1/2'
loop_
_atom_site_label
_atom_site_type_symbol
_atom_site_fract_x
_atom_site_fract_y
_atom_site_fract_z
Cs1 Cs 0.000 0.244 0.250
Be1 Be 0.500 0.500 0.000
Ag1 Ag 0.500 0.061 0.750
S1 S 0.308 0.255 0.957
# Energy relative to the elements, uncorrected in eV/atom: -0.6922
# Calculated volume in Å³ per atom: 27.8
# Size of the total moment in μB per cell: 0.0

=====

5.
# Al3Tl, optimized geometry, DFT PBE
data_Al3Tl
_symmetry_space_group_name_H-M 'P n m a'
_symmetry_Int_Tables_number 62
_cell_length_a 7.099
_cell_length_b 8.393
_cell_length_c 5.690
_cell_angle_alpha 90.00
_cell_angle_beta 90.00
_cell_angle_gamma 90.00
loop_
_symmetry_equiv_pos_as_xyz
'x,y,z'
'-x,-y,-z'
'-x+1/2,-y,z+1/2'
'x+1/2,y,-z+1/2'
'x+1/2,-y+1/2,-z+1/2'
'-x+1/2,y+1/2,z+1/2'
'-x,y+1/2,-z'
'x,-y+1/2,z'
loop_
_atom_site_label
_atom_site_type_symbol
_atom_site_fract_x
_atom_site_fract_y
_atom_site_fract_z
Al1 Al 0.112 0.250 0.152
Al2 Al 0.187 0.533 0.925
Tl1 Tl 0.021 0.750 0.364
# Offset from the most stable computed form in eV/f.u.: 0.24
# Energy of formation in eV per atom: 0.2324
# Calculated volume in Å³ per atom: 21.2
# Size of the total moment in μB per cell: 0.0

=====

6.
# NbAgBiOs2, optimized geometry, DFT PBE
data_NbAgBiOs2
_symmetry_space_group_name_H-M 'P 4/m m m'
_symmetry_Int_Tables_number 123
_symmetry_space_group_name_Hall '-P 4 2'
_cell_length_a 4.831
_cell_length_b 4.831
_cell_length_c 4.955
_cell_angle_alpha 90.00
_cell_angle_beta 90.00
_cell_angle_gamma 90.00
loop_
_atom_site_label
_atom_site_type_symbol
_atom_site_fract_x
_atom_site_fract_y
_atom_site_fract_z
Nb1 Nb 0.000 0.000 0.000
Ag1 Ag 0.500 0.500 0.500
Bi1 Bi 0.500 0.500 0.000
Os1 Os 0.000 0.500 0.500
# Energy of formation in eV per atom: 2.4817
# Calculated volume in Å³ per atom: 23.1
# Size of the total moment in μB per cell: 0.0

=====

7.
# Ti4Nb4Mo3, optimized geometry, DFT PBE
data_Ti4Nb4Mo3
_symmetry_space_group_name_H-M 'P -1'
_symmetry_Int_Tables_number 2
_cell_length_a 2.849
_cell_length_b 4.572
_cell_length_c 14.555
_cell_angle_alpha 81.01
_cell_angle_beta 87.60
_cell_angle_gamma 89.94
loop_
_symmetry_equiv_pos_as_xyz
'x,y,z'
'-x,-y,-z'
loop_
_atom_site_label
_atom_site_type_symbol
_atom_site_fract_x
_atom_site_fract_y
_atom_site_fract_z
Ti1 Ti 0.202 0.275 0.449
Ti2 Ti 0.262 0.910 0.181
Nb1 Nb 0.330 0.546 0.908
Nb2 Nb 0.389 0.181 0.640
Mo1 Mo 0.000 0.000 0.000
Mo2 Mo 0.082 0.636 0.729
# Energy of formation in eV per atom: -0.0575
# Calculated volume in Å³ per atom: 17.0
# Size of the total moment in μB per cell: 0.0

=====

8.
# Sc2ZnFeC, optimized geometry, DFT PBE
data_Sc2ZnFeC
_symmetry_space_group_name_H-M 'P 4/m m m'
_symmetry_Int_Tables_number 123
_symmetry_space_group_name_Hall '-P 4 2'
_cell_length_a 4.562
_cell_length_b 4.562
_cell_length_c 3.636
_cell_angle_alpha 90.00
_cell_angle_beta 90.00
_cell_angle_gamma 90.00
loop_
_atom_site_label
_atom_site_type_symbol
_atom_site_fract_x
_atom_site_fract_y
_atom_site_fract_z
Sc1 Sc 0.000 0.500 0.000
Zn1 Zn 0.000 0.000 0.500
Fe1 Fe 0.500 0.500 0.500
C1 C 0.500 0.500 0.000
# Energy of formation in eV per atom: -0.4300
# Calculated volume in Å³ per atom: 15.1
# Size of the total moment in μB per cell: 0.0

=====

9.
# Lu3Pt4, optimized geometry, DFT PBE
data_Lu3Pt4
_symmetry_space_group_name_H-M 'R -3'
_symmetry_Int_Tables_number 148
_symmetry_space_group_name_Hall '-R 3'
_cell_length_a 12.9405
_cell_length_b 12.9405
_cell_length_c 5.6730
_cell_angle_alpha 90.00
_cell_angle_beta 90.00
_cell_angle_gamma 120.00
loop_
_atom_site_label
_atom_site_type_symbol
_atom_site_fract_x
_atom_site_fract_y
_atom_site_fract_z
Lu1 Lu 0.0417 0.8301 0.2342
Pt1 Pt 0.0000 0.0000 0.0000
Pt2 Pt 0.0000 0.0000 0.5000
Pt3 Pt 0.0513 0.7833 0.7178
# Energy of formation in eV per atom: -1.3033
# Calculated volume in Å³ per atom: 19.6
# Size of the total moment in μB per cell: 0.0

=====

10.
# Sm2MgZn, optimized geometry, DFT PBE
data_Sm2MgZn
_symmetry_space_group_name_H-M 'R -3 m'
_symmetry_Int_Tables_number 166
_symmetry_space_group_name_Hall '-R 3 2"'
_cell_length_a 3.6045
_cell_length_b 3.6045
_cell_length_c 30.0941
_cell_angle_alpha 90.00
_cell_angle_beta 90.00
_cell_angle_gamma 120.00
loop_
_atom_site_label
_atom_site_type_symbol
_atom_site_fract_x
_atom_site_fract_y
_atom_site_fract_z
Sm1 Sm 0.0000 0.0000 0.2423
Mg1 Mg 0.0000 0.0000 0.0000
Zn1 Zn 0.0000 0.0000 0.5000
# Offset from the most stable computed form in eV/f.u.: 0.73
# Energy of formation in eV per atom: -0.0280
# Calculated volume in Å³ per atom: 28.2
# Size of the total moment in μB per cell: 0.0

=====

11.
# TaCoNi2, optimized geometry, DFT PBE
data_TaCoNi2
_symmetry_space_group_name_H-M 'P m m n'
_symmetry_Int_Tables_number 59
_cell_length_a 4.159
_cell_length_b 5.108
_cell_length_c 4.614
_cell_angle_alpha 90.00
_cell_angle_beta 90.00
_cell_angle_gamma 90.00
loop_
_symmetry_equiv_pos_as_xyz
'x,y,z'
'-x,-y,-z'
'-x+1/2,-y+1/2,z'
'x+1/2,y+1/2,-z'
'x+1/2,-y,-z'
'-x+1/2,y,z'
'-x,y+1/2,-z'
'x,-y+1/2,z'
loop_
_atom_site_label
_atom_site_type_symbol
_atom_site_fract_x
_atom_site_fract_y
_atom_site_fract_z
Ta1 Ta 0.250 0.250 0.146
Co1 Co 0.250 0.750 0.185
Ni1 Ni 0.250 0.002 0.656
# Offset from the most stable computed form in eV/f.u.: 0.09
# Energy of formation in eV per atom: -0.3074
# Calculated volume in Å³ per atom: 12.3
# Size of the total moment in μB per cell: 0.0

=====

12.
# Ac5TbSn6, optimized geometry, DFT PBE
data_Ac5TbSn6
_symmetry_space_group_name_H-M 'C 1 2/m 1'
_symmetry_Int_Tables_number 12
_cell_length_a 6.974
_cell_length_b 16.453
_cell_length_c 7.887
_cell_angle_alpha 90.00
_cell_angle_beta 109.88
_cell_angle_gamma 90.00
loop_
_symmetry_equiv_pos_as_xyz
'x,y,z'
'-x,-y,-z'
'-x,y,-z'
'x,-y,z'
'x+1/2,y+1/2,z'
'-x+1/2,-y+1/2,-z'
'-x+1/2,y+1/2,-z'
'x+1/2,-y+1/2,z'
loop_
_atom_site_label
_atom_site_type_symbol
_atom_site_fract_x
_atom_site_fract_y
_atom_site_fract_z
Ac1 Ac 0.000 0.000 0.000
Ac2 Ac 0.000 0.311 0.000
Ac3 Ac 0.000 0.354 0.500
Tb1 Tb 0.000 0.000 0.500
Sn1 Sn 0.019 0.164 0.703
Sn2 Sn 0.031 0.500 0.200
# Energy of formation in eV per atom: -0.5924
# Calculated volume in Å³ per atom: 35.5
# Size of the total moment in μB per cell: 0.0